VASP calculation (PBE-GGA) on a geometry-optimized YTa2Ni structure.

Cell: 2.9879 2.9879 8.3673 Å, 90.00 90.00 90.00°
Closest atoms and distances in Å follow each position.
Positions (direct):
Y (0.0000, 0.0000, 0.0000)  4 Y 2.99, 8 Ta 3.29
Ta (0.5000, 0.5000, 0.3020)  4 Ni 2.69, 4 Ta 2.99
Ta (0.5000, 0.5000, 0.6980)  4 Ni 2.69, 4 Ta 2.99
Ni (0.0000, 0.0000, 0.5000)  8 Ta 2.69, 4 Ni 2.99

Computed properties:
Fermi-level density of states: 1.116 states/eV per atom
Offset from the most stable computed form: 157 meV/atom
E_form: 0.2006 eV per atom